[1]
NbAlH3 | PBE | optimized geometry

The structure in CIF format:
```
data_NbAlH3
_cell_length_a 3.599
_cell_length_b 3.599
_cell_length_c 3.599
_cell_angle_alpha 90.00
_cell_angle_beta 90.00
_cell_angle_gamma 90.00
_space_group_name_H-M_alt 'P 1'
_space_group_IT_number 1
loop_
_space_group_symop_operation_xyz
'x,y,z'
loop_
_atom_site_label
_atom_site_type_symbol
_atom_site_fract_x
_atom_site_fract_y
_atom_site_fract_z
H1 H 0.000 0.500 0.000
H2 H 0.000 0.000 0.500
H3 H 0.500 0.000 0.000
Nb1 Nb 0.000 0.000 0.000
Al1 Al 0.500 0.500 0.500
```

DFT total energy   -4.61 eV/atom
Symmetry   Pm-3m

---

[2]
Nb4AlH | PBE | optimized geometry

The structure in CIF format:
```
data_Nb4AlH
_cell_length_a 6.397
_cell_length_b 4.834
_cell_length_c 7.222
_cell_angle_alpha 102.38
_cell_angle_beta 110.61
_cell_angle_gamma 105.75
_space_group_name_H-M_alt 'P 1'
_space_group_IT_number 1
loop_
_space_group_symop_operation_xyz
'x,y,z'
loop_
_atom_site_label
_atom_site_type_symbol
_atom_site_fract_x
_atom_site_fract_y
_atom_site_fract_z
Nb1 Nb 0.907 0.287 0.064
Nb2 Nb 0.657 0.778 0.064
Nb3 Nb 0.282 0.670 0.636
Nb4 Nb 0.718 0.330 0.364
Nb5 Nb 0.146 0.034 0.364
Nb6 Nb 0.343 0.222 0.936
Nb7 Nb 0.854 0.966 0.636
Nb8 Nb 0.093 0.713 0.936
Al1 Al 0.403 0.653 0.306
Al2 Al 0.597 0.347 0.694
H1 H 0.987 0.737 0.474
H2 H 0.013 0.263 0.526
```

DFT total energy   -7.89 eV/atom
Symmetry   C2/c

---

[3]
NbAl2H | PBE | optimized geometry

The structure in CIF format:
```
data_NbAl2H
_cell_length_a 5.479
_cell_length_b 5.479
_cell_length_c 5.268
_cell_angle_alpha 58.67
_cell_angle_beta 58.67
_cell_angle_gamma 90.00
_space_group_name_H-M_alt 'P 1'
_space_group_IT_number 1
loop_
_space_group_symop_operation_xyz
'x,y,z'
loop_
_atom_site_label
_atom_site_type_symbol
_atom_site_fract_x
_atom_site_fract_y
_atom_site_fract_z
H1 H 0.500 0.500 0.000
H2 H 0.250 0.750 0.500
Nb1 Nb 0.000 0.000 0.000
Nb2 Nb 0.750 0.250 0.500
Al1 Al 0.466 0.125 0.250
Al2 Al 0.284 0.625 0.250
Al3 Al 0.375 0.534 0.750
Al4 Al 0.875 0.716 0.750
```

DFT total energy   -5.08 eV/atom
Symmetry   I-42d

---

[4]
Nb4Al2H | PBE | optimized geometry

The structure in CIF format:
```
data_Nb4Al2H
_cell_length_a 2.807
_cell_length_b 8.265
_cell_length_c 7.567
_cell_angle_alpha 141.31
_cell_angle_beta 90.00
_cell_angle_gamma 90.00
_space_group_name_H-M_alt 'P 1'
_space_group_IT_number 1
loop_
_space_group_symop_operation_xyz
'x,y,z'
loop_
_atom_site_label
_atom_site_type_symbol
_atom_site_fract_x
_atom_site_fract_y
_atom_site_fract_z
Nb1 Nb 0.500 0.812 0.833
Nb2 Nb 0.000 0.180 0.843
Nb3 Nb 0.500 0.325 0.335
Nb4 Nb 0.000 0.960 0.314
Al1 Al 0.500 0.458 0.810
Al2 Al 0.500 0.677 0.350
H1 H 0.000 0.087 0.017
```

DFT total energy   -7.38 eV/atom
Symmetry   Pm

---

[5]
NbAlNi2H | PBE | optimized geometry

The structure in CIF format:
```
data_NbAlNi2H
_cell_length_a 3.821
_cell_length_b 3.821
_cell_length_c 3.941
_cell_angle_alpha 90.00
_cell_angle_beta 90.00
_cell_angle_gamma 90.00
_space_group_name_H-M_alt 'P 1'
_space_group_IT_number 1
loop_
_space_group_symop_operation_xyz
'x,y,z'
loop_
_atom_site_label
_atom_site_type_symbol
_atom_site_fract_x
_atom_site_fract_y
_atom_site_fract_z
Ni1 Ni 0.000 0.500 0.000
Ni2 Ni 0.500 0.000 0.000
Nb1 Nb 0.000 0.000 0.500
Al1 Al 0.500 0.500 0.500
H1 H 0.000 0.000 0.000
```

DFT total energy   -5.94 eV/atom
Symmetry   P4/mmm

---

[6]
Nb2AlNiH | PBE | optimized geometry

The structure in CIF format:
```
data_Nb2AlNiH
_cell_length_a 4.063
_cell_length_b 4.063
_cell_length_c 3.928
_cell_angle_alpha 90.00
_cell_angle_beta 90.00
_cell_angle_gamma 90.00
_space_group_name_H-M_alt 'P 1'
_space_group_IT_number 1
loop_
_space_group_symop_operation_xyz
'x,y,z'
loop_
_atom_site_label
_atom_site_type_symbol
_atom_site_fract_x
_atom_site_fract_y
_atom_site_fract_z
Ni1 Ni 0.000 0.000 0.500
Nb1 Nb 0.000 0.500 0.000
Nb2 Nb 0.500 0.000 0.000
Al1 Al 0.500 0.500 0.500
H1 H 0.000 0.000 0.000
```

DFT total energy   -6.86 eV/atom
Symmetry   P4/mmm

---

[7]
Nb2AlHOs | PBE | optimized geometry

The structure in CIF format:
```
data_Nb2AlHOs
_cell_length_a 4.130
_cell_length_b 4.130
_cell_length_c 3.984
_cell_angle_alpha 90.00
_cell_angle_beta 90.00
_cell_angle_gamma 90.00
_space_group_name_H-M_alt 'P 1'
_space_group_IT_number 1
loop_
_space_group_symop_operation_xyz
'x,y,z'
loop_
_atom_site_label
_atom_site_type_symbol
_atom_site_fract_x
_atom_site_fract_y
_atom_site_fract_z
H1 H 0.000 0.000 0.000
Nb1 Nb 0.000 0.500 0.000
Nb2 Nb 0.500 0.000 0.000
Os1 Os 0.000 0.000 0.500
Al1 Al 0.500 0.500 0.500
```

DFT total energy   -7.86 eV/atom
Symmetry   P4/mmm

---

[8]
Nb2AlHPt | PBE | optimized geometry

The structure in CIF format:
```
data_Nb2AlHPt
_cell_length_a 3.947
_cell_length_b 3.947
_cell_length_c 4.445
_cell_angle_alpha 90.00
_cell_angle_beta 90.00
_cell_angle_gamma 90.00
_space_group_name_H-M_alt 'P 1'
_space_group_IT_number 1
loop_
_space_group_symop_operation_xyz
'x,y,z'
loop_
_atom_site_label
_atom_site_type_symbol
_atom_site_fract_x
_atom_site_fract_y
_atom_site_fract_z
H1 H 0.000 0.000 0.000
Nb1 Nb 0.000 0.500 0.000
Nb2 Nb 0.500 0.000 0.000
Al1 Al 0.500 0.500 0.500
Pt1 Pt 0.000 0.000 0.500
```

DFT total energy   -7.06 eV/atom
Symmetry   P4/mmm